i:
A plane-wave DFT calculation with GGA-PBE was carried out for crystalline Pr3Y2Ho6 at its relaxed geometry.

Unit cell a=4.769 b=4.769 c=17.079 alpha=98.03 beta=98.03 gamma=90.00
Fractional coordinates of all 11 atoms:
Ho1 0.621 0.121 0.242
Y1 0.547 0.547 0.093
Ho2 0.308 0.308 0.616
Ho3 0.379 0.879 0.758
Y2 0.453 0.453 0.907
Pr1 0.000 0.000 0.000
Pr2 0.205 0.205 0.410
Pr3 0.795 0.795 0.590
Ho4 0.879 0.379 0.758
Ho5 0.692 0.692 0.384
Ho6 0.121 0.621 0.242



ii:
A plane-wave DFT calculation with GGA-PBE was carried out for crystalline Pr3Y2Ho6 at its relaxed geometry.

Unit cell a=5.733 b=6.733 c=11.938 alpha=78.21 beta=61.33 gamma=64.81
Fractional coordinates of all 11 atoms:
Ho1 0.547 0.299 0.303
Ho2 0.288 0.000 0.211
Pr1 0.294 0.412 0.000
Pr2 0.000 0.000 0.000
Pr3 0.706 0.588 0.000
Ho3 0.154 0.299 0.697
Y1 0.133 0.734 0.500
Y2 0.867 0.266 0.500
Ho4 0.453 0.701 0.697
Ho5 0.846 0.701 0.303
Ho6 0.712 0.000 0.789



The relative energies come out as i 110; ii 0, with values in meV/atom.